(1)
Mg2B4H22C2S, optimized geometry, DFT PBE; SG = Cc (9); crystal system = monoclinic
1.0
-5.0677 -4.1064 3.9648
2.1121 -7.2200 2.5695
2.2419 3.3759 11.9684
H B Mg S C
44 8 4 2 4
Direct
0.1930 0.3235 0.7083
0.9904 0.1423 0.9458
0.1183 0.2240 0.5910
0.4406 0.2969 0.2986
0.4300 0.9164 0.5361
0.1340 0.8662 0.7999
0.4172 0.7885 0.6782
0.7620 0.2055 0.0465
0.9770 0.4990 0.6295
0.1314 0.4242 0.3651
0.4235 0.2674 0.0755
0.3423 0.7760 0.0910
0.1328 0.8577 0.4458
0.9843 0.9816 0.0572
0.2387 0.7043 0.2369
0.6050 0.1988 0.6579
0.8674 0.5482 0.0894
0.8037 0.8012 0.1579
0.5259 0.9711 0.6629
0.3290 0.4163 0.4439
0.7375 0.7031 0.7986
0.4759 0.5010 0.1295
0.7452 0.5837 0.9439
0.0835 0.6177 0.0877
0.9296 0.5549 0.2311
0.4921 0.8310 0.9126
0.2058 0.2115 0.1782
0.4970 0.0289 0.1629
0.3464 0.0836 0.0361
0.7012 0.3823 0.5877
0.4845 0.4451 0.7311
0.1407 0.7006 0.9100
0.0215 0.7137 0.8007
0.7352 0.2863 0.3007
0.5166 0.6765 0.2083
0.8413 0.2994 0.4100
0.9430 0.2957 0.7369
0.4156 0.4518 0.5894
0.3232 0.1690 0.4126
0.0002 0.1338 0.2999
0.9659 0.0184 0.5572
0.6909 0.7326 0.5755
0.9675 0.7945 0.5465
0.5556 0.5758 0.8651
0.5154 0.8535 0.6129
0.0586 0.3352 0.6663
0.3689 0.1465 0.1129
0.6321 0.6743 0.8804
0.5515 0.3690 0.6409
0.3938 0.6648 0.1663
0.9205 0.6310 0.1409
0.3064 0.3257 0.3804
0.2384 0.4513 0.2020
0.4192 0.1919 0.5568
0.6111 0.8081 0.0568
0.6898 0.5487 0.7020
0.7866 0.0211 0.4209
0.8077 0.9789 0.9209
0.8965 0.0862 0.0008
0.0509 0.7965 0.8516
0.8475 0.2035 0.3516
0.9827 0.9138 0.5008


(2)
NbBHC2, optimized geometry, DFT PBE; SG = P4/mmm (123); crystal system = tetragonal
1.0
4.1590 0.0000 0.0000
0.0000 3.6565 0.0000
0.0000 0.0000 4.1590
C Nb H B
2 1 1 1
Direct
0.5000 0.0000 0.0000
0.0000 0.0000 0.5000
0.0000 0.0000 0.0000
0.0000 0.5000 0.0000
0.5000 0.5000 0.5000


(3)
NbBH2C, optimized geometry, DFT PBE; SG = P4/mmm (123); crystal system = tetragonal
1.0
-2.2516 -2.5615 -0.0590
1.9539 -1.6815 -1.5641
1.2959 -1.2062 2.9156
Nb H C B
1 2 1 1
Direct
0.5000 0.5000 0.5000
0.0000 0.0000 0.5000
0.5000 0.0000 0.0000
0.0000 0.5000 0.0000
0.0000 0.0000 0.0000


(4)
Si2BPH28C9, optimized geometry, DFT PBE; SG = P2_1/c (14); crystal system = monoclinic
1.0
9.0411 0.0092 0.0000
-3.8132 12.3628 0.0000
0.0000 0.0000 15.3784
H C Si B P
112 36 8 4 4
Direct
0.0532 0.7143 0.8828
0.0268 0.7017 0.7519
0.2795 0.2290 0.0488
0.9391 0.5381 0.1168
0.5933 0.1665 0.3473
0.2153 0.5846 0.4411
0.4481 0.4262 0.2353
0.0609 0.4619 0.8832
0.5146 0.0730 0.1614
0.8100 0.6245 0.6470
0.0876 0.1565 0.0186
0.2419 0.1169 0.5157
0.2572 0.0252 0.4329
0.4287 0.7056 0.6235
0.7205 0.2710 0.5488
0.7134 0.7862 0.2010
0.9582 0.1392 0.4635
0.2866 0.7138 0.7010
0.4207 0.8811 0.3736
0.7915 0.1556 0.9649
0.4136 0.6437 0.0474
0.7134 0.2862 0.2990
0.3909 0.5830 0.8276
0.6091 0.4170 0.1724
0.4854 0.9270 0.8386
0.8782 0.5489 0.2605
0.7847 0.9154 0.9411
0.9055 0.6639 0.1442
0.6091 0.9170 0.3276
0.0609 0.9619 0.6168
0.2445 0.5744 0.2450
0.2572 0.5252 0.0671
0.9055 0.1639 0.3558
0.4067 0.3335 0.8473
0.1218 0.9511 0.7605
0.9391 0.0381 0.3832
0.5519 0.5738 0.7647
0.4287 0.2056 0.8765
0.0268 0.2017 0.7481
0.5793 0.6189 0.8736
0.3722 0.8732 0.1045
0.7555 0.4256 0.7550
0.9861 0.4767 0.3194
0.5713 0.2944 0.3765
0.9732 0.2983 0.2481
0.5146 0.5730 0.3386
0.9468 0.2857 0.1172
0.9582 0.6392 0.0365
0.9124 0.8435 0.9814
0.6278 0.1268 0.8955
0.0418 0.8608 0.5365
0.8512 0.6220 0.8312
0.1295 0.9534 0.8761
0.0532 0.2143 0.6172
0.5115 0.8407 0.9233
0.8705 0.0466 0.1239
0.4854 0.4270 0.6614
0.1900 0.8755 0.1470
0.8782 0.0489 0.2395
0.3368 0.3061 0.6373
0.6278 0.6268 0.6045
0.7847 0.4154 0.5589
0.3368 0.8061 0.8627
0.6632 0.6939 0.3627
0.4481 0.9262 0.2647
0.3722 0.3732 0.3955
0.0945 0.3361 0.8558
0.5864 0.8563 0.5474
0.9468 0.7857 0.3828
0.2153 0.0846 0.0589
0.5713 0.7944 0.1235
0.7428 0.9748 0.5671
0.4067 0.8335 0.6527
0.8512 0.1220 0.6688
0.1488 0.3780 0.1688
0.4885 0.6593 0.4233
0.9732 0.7983 0.2519
0.8705 0.5466 0.3761
0.7915 0.6556 0.5351
0.0418 0.3608 0.9635
0.4136 0.1437 0.4526
0.0139 0.5233 0.6806
0.9124 0.3435 0.5186
0.1295 0.4534 0.6239
0.3909 0.0830 0.6724
0.2419 0.6169 0.9843
0.6632 0.1939 0.1373
0.2085 0.3444 0.4649
0.7205 0.7710 0.9512
0.5519 0.0738 0.7353
0.2445 0.0744 0.2550
0.5115 0.3407 0.5767
0.2866 0.2138 0.7990
0.1900 0.3755 0.3530
0.1488 0.8780 0.3312
0.5793 0.1189 0.6264
0.8100 0.1245 0.8530
0.2085 0.8444 0.0351
0.7555 0.9256 0.7450
0.4885 0.1593 0.0767
0.7581 0.8831 0.4843
0.0139 0.0233 0.8194
0.5933 0.6665 0.1527
0.7428 0.4748 0.9329
0.0876 0.6565 0.4814
0.5864 0.3563 0.9526
0.7581 0.3831 0.0157
0.4207 0.3811 0.1264
0.9861 0.9767 0.1806
0.2795 0.7290 0.4512
0.0945 0.8361 0.6442
0.1218 0.4511 0.7395
0.4630 0.3420 0.6419
0.5951 0.2464 0.3222
0.2873 0.6114 0.0500
0.0542 0.4510 0.6804
0.9777 0.1260 0.3942
0.2468 0.3338 0.3985
0.0223 0.8740 0.6058
0.4049 0.7536 0.6778
0.5142 0.1222 0.6861
0.2495 0.1610 0.2550
0.5370 0.1580 0.1419
0.7127 0.3886 0.9500
0.2495 0.6610 0.2450
0.4049 0.2536 0.8222
0.7532 0.1662 0.8985
0.1811 0.6590 0.4351
0.7127 0.8886 0.5500
0.9777 0.6260 0.1058
0.5370 0.6580 0.3581
0.7532 0.6662 0.6015
0.8189 0.8410 0.9351
0.7505 0.8390 0.7450
0.2873 0.1114 0.4500
0.2468 0.8338 0.1015
0.5951 0.7464 0.1778
0.9458 0.0490 0.1804
0.0542 0.9510 0.8196
0.4858 0.8778 0.3139
0.4858 0.3778 0.1861
0.9458 0.5490 0.3196
0.1811 0.1590 0.0649
0.7505 0.3390 0.7550
0.5142 0.6222 0.8139
0.0223 0.3740 0.8942
0.8189 0.3410 0.5649
0.4630 0.8420 0.8581
0.5381 0.2638 0.7262
0.1912 0.1846 0.3728
0.8088 0.8154 0.6272
0.8088 0.3154 0.8728
0.1912 0.6846 0.1272
0.4619 0.2362 0.2262
0.4619 0.7362 0.2738
0.5381 0.7638 0.7738
0.0370 0.7991 0.3217
0.9630 0.7009 0.8217
0.9630 0.2009 0.6783
0.0370 0.2991 0.1783
0.1073 0.6727 0.3263
0.8927 0.8273 0.8263
0.1073 0.1727 0.1737
0.8927 0.3273 0.6737


Number 1: electronic total energy -266.76 eV/cell. Number 2: electronic total energy -28.01 eV/cell. Number 3: electronic total energy -30.01 eV/cell. Number 4: electronic total energy -836.39 eV/cell.